Entry 1:
DFT (GGA-PBE) results for a geometry-optimized KB3Br structure.

abc: 5.748 5.748 5.748
angles: 90.00 90.00 90.00
Sites, in units of the cell vectors:
K 0.000 0.000 0.000
B 0.000 0.000 0.500
B 0.000 0.500 0.000
B 0.500 0.000 0.000
Br 0.500 0.500 0.500

Properties
Its space-group type is Pm-3m. The calculated density comes out at 1.324 Mg/m³. The calculation puts the spin magnetization at 3.00 Bohr magnetons per cell. Its density of states at the Fermi level is 4.224 states/eV/atom. For the total DFT energy (no corrections), the calculation gives -1.489 eV/atom.

***

Entry 2:
DFT (GGA-PBE) results for a geometry-optimized KNaB2Br8 structure.

abc: 10.509 10.509 10.509
angles: 36.63 36.63 36.63
Sites, in units of the cell vectors:
K 0.000 0.000 0.000
Na 0.500 0.500 0.500
B 0.253 0.253 0.253
B 0.747 0.747 0.747
Br 0.045 0.463 0.800
Br 0.200 0.955 0.537
Br 0.322 0.322 0.322
Br 0.463 0.800 0.045
Br 0.537 0.200 0.955
Br 0.678 0.678 0.678
Br 0.800 0.045 0.463
Br 0.955 0.537 0.200

Properties
Its space-group type is R-3. The calculated density comes out at 3.245 Mg/m³. The calculation puts the spin magnetization at 0.00 Bohr magnetons per cell. Its density of states at the Fermi level is 0.000 states/eV/atom. For the total DFT energy (no corrections), the calculation gives -3.298 eV/atom.

***

Entry 3:
DFT (GGA-PBE) results for a geometry-optimized KNaB2Br structure.

abc: 5.374 5.374 6.147
angles: 90.00 90.00 90.00
Sites, in units of the cell vectors:
K 0.000 0.000 0.000
Na 0.500 0.500 0.500
B 0.000 0.500 0.000
B 0.500 0.000 0.000
Br 0.000 0.000 0.500

Properties
Its space-group type is P4/mmm. The calculated density comes out at 1.531 Mg/m³. The calculation puts the spin magnetization at 2.23 Bohr magnetons per cell. Its density of states at the Fermi level is 1.202 states/eV/atom. For the total DFT energy (no corrections), the calculation gives -1.844 eV/atom.

***

Entry 4:
DFT (GGA-PBE) results for a geometry-optimized KNaBBr2 structure.

abc: 5.513 5.513 5.189
angles: 90.00 90.00 90.00
Sites, in units of the cell vectors:
K 0.000 0.000 0.000
Na 0.500 0.500 0.000
B 0.000 0.000 0.500
Br 0.000 0.500 0.500
Br 0.500 0.000 0.500

Properties
Its space-group type is P4/mmm. The calculated density comes out at 2.450 Mg/m³. The calculation puts the spin magnetization at 0.00 Bohr magnetons per cell. Its density of states at the Fermi level is 0.441 states/eV/atom. For the total DFT energy (no corrections), the calculation gives -2.341 eV/atom.

***

Entry 5:
DFT (GGA-PBE) results for a geometry-optimized K3B6BrO10 structure.

abc: 6.625 6.625 6.625
angles: 100.88 100.88 100.88
Sites, in units of the cell vectors:
K 0.179 0.179 0.641
K 0.179 0.641 0.179
K 0.641 0.179 0.179
B 0.078 0.631 0.631
B 0.488 0.750 0.750
B 0.631 0.078 0.631
B 0.631 0.631 0.078
B 0.750 0.488 0.750
B 0.750 0.750 0.488
Br 0.122 0.122 0.122
O 0.283 0.622 0.622
O 0.509 0.743 0.974
O 0.509 0.974 0.743
O 0.622 0.283 0.622
O 0.622 0.622 0.283
O 0.666 0.666 0.666
O 0.743 0.509 0.974
O 0.743 0.974 0.509
O 0.974 0.509 0.743
O 0.974 0.743 0.509

Properties
Its space-group type is R3m. The calculated density comes out at 2.569 Mg/m³. The calculation puts the spin magnetization at 0.14 Bohr magnetons per cell. Its density of states at the Fermi level is 0.000 states/eV/atom. For the total DFT energy (no corrections), the calculation gives -7.093 eV/atom.

***

Entry 6:
DFT (GGA-PBE) results for a geometry-optimized KRbB2Br8 structure.

abc: 10.885 10.885 10.885
angles: 36.74 36.74 36.74
Sites, in units of the cell vectors:
K 0.000 0.000 0.000
Rb 0.500 0.500 0.500
B 0.244 0.244 0.244
B 0.756 0.756 0.756
Br 0.040 0.490 0.670
Br 0.178 0.178 0.178
Br 0.330 0.960 0.510
Br 0.490 0.670 0.040
Br 0.510 0.330 0.960
Br 0.670 0.040 0.490
Br 0.822 0.822 0.822
Br 0.960 0.510 0.330

Properties
Its space-group type is R-3. The calculated density comes out at 3.155 Mg/m³. The calculation puts the spin magnetization at 0.00 Bohr magnetons per cell. Its density of states at the Fermi level is 0.000 states/eV/atom. For the total DFT energy (no corrections), the calculation gives -3.336 eV/atom.

***

Entry 7:
DFT (GGA-PBE) results for a geometry-optimized KBRhBr2 structure.

abc: 5.890 5.890 5.306
angles: 90.00 90.00 90.00
Sites, in units of the cell vectors:
K 0.000 0.000 0.000
B 0.000 0.000 0.500
Rh 0.500 0.500 0.500
Br 0.000 0.500 0.000
Br 0.500 0.000 0.000

Properties
Its space-group type is P4/mmm. The calculated density comes out at 2.820 Mg/m³. The calculation puts the spin magnetization at 2.09 Bohr magnetons per cell. Its density of states at the Fermi level is 3.638 states/eV/atom. For the total DFT energy (no corrections), the calculation gives -2.196 eV/atom.

***

Entry 8:
DFT (GGA-PBE) results for a geometry-optimized KB2RhBr structure.

abc: 4.151 4.151 5.775
angles: 90.00 90.00 90.00
Sites, in units of the cell vectors:
K 0.000 0.000 0.000
B 0.000 0.500 0.500
B 0.500 0.000 0.500
Rh 0.500 0.500 0.500
Br 0.500 0.500 0.000

Properties
Its space-group type is P4/mmm. The calculated density comes out at 4.065 Mg/m³. The calculation puts the spin magnetization at 0.00 Bohr magnetons per cell. Its density of states at the Fermi level is 0.287 states/eV/atom. For the total DFT energy (no corrections), the calculation gives -4.436 eV/atom.

***

Entry 9:
DFT (GGA-PBE) results for a geometry-optimized K2BSeBr structure.

abc: 6.058 6.058 5.662
angles: 90.00 90.00 90.00
Sites, in units of the cell vectors:
K 0.000 0.500 0.000
K 0.500 0.000 0.000
B 0.000 0.000 0.500
Se 0.500 0.500 0.500
Br 0.500 0.500 0.000

Properties
Its space-group type is P4/mmm. The calculated density comes out at 1.981 Mg/m³. The calculation puts the spin magnetization at 1.24 Bohr magnetons per cell. Its density of states at the Fermi level is 0.675 states/eV/atom. For the total DFT energy (no corrections), the calculation gives -2.302 eV/atom.

***

Entry 10:
DFT (GGA-PBE) results for a geometry-optimized KBSeBr2 structure.

abc: 5.578 5.578 4.074
angles: 90.00 90.00 90.00
Sites, in units of the cell vectors:
K 0.000 0.000 0.000
B 0.500 0.500 0.500
Se 0.500 0.500 0.000
Br 0.000 0.500 0.500
Br 0.500 0.000 0.500

Properties
Its space-group type is P4/mmm. The calculated density comes out at 3.782 Mg/m³. The calculation puts the spin magnetization at 0.00 Bohr magnetons per cell. Its density of states at the Fermi level is 0.631 states/eV/atom. For the total DFT energy (no corrections), the calculation gives -3.043 eV/atom.

***

Entry 11:
DFT (GGA-PBE) results for a geometry-optimized KBSeBr2 structure.

abc: 6.116 6.116 6.041
angles: 90.00 90.00 90.00
Sites, in units of the cell vectors:
K 0.000 0.000 0.000
B 0.500 0.500 0.500
Se 0.000 0.000 0.500
Br 0.000 0.500 0.000
Br 0.500 0.000 0.000

Properties
Its space-group type is P4/mmm. The calculated density comes out at 2.121 Mg/m³. The calculation puts the spin magnetization at 2.03 Bohr magnetons per cell. Its density of states at the Fermi level is 1.046 states/eV/atom. For the total DFT energy (no corrections), the calculation gives -1.868 eV/atom.

***

Entry 12:
DFT (GGA-PBE) results for a geometry-optimized KTlB2Br8 structure.

abc: 10.635 10.635 10.635
angles: 37.42 37.42 37.42
Sites, in units of the cell vectors:
K 0.000 0.000 0.000
Tl 0.500 0.500 0.500
B 0.242 0.242 0.242
B 0.758 0.758 0.758
Br 0.045 0.494 0.667
Br 0.174 0.174 0.174
Br 0.333 0.955 0.506
Br 0.494 0.667 0.045
Br 0.506 0.333 0.955
Br 0.667 0.045 0.494
Br 0.826 0.826 0.826
Br 0.955 0.506 0.333

Properties
Its space-group type is R-3. The calculated density comes out at 3.771 Mg/m³. The calculation puts the spin magnetization at 0.00 Bohr magnetons per cell. Its density of states at the Fermi level is 0.000 states/eV/atom. For the total DFT energy (no corrections), the calculation gives -3.286 eV/atom.